<a>
First-principles (SCAN) data for a PBEsol-optimized structure of ZnW2Br, as listed in Alexandria.

Values from the calculation:
Density of states at the Fermi level in states/eV/atom: 0.453

a b c (Å): 4.3200 4.3200 6.9358
angles (deg): 90.00 90.00 90.00
Closest atoms and distances in Å follow each position.
Space group I-4m2 (No. 119)
Asymmetric unit:
Zn (0.0000, 0.0000, 0.0000) (multiplicity 2)  8 W 2.77-3.05, 4 Br 2.77
W (0.0000, 0.0000, 0.5000) (multiplicity 2)  4 W 2.77, 4 Br 2.77, 4 Zn 3.05
W (0.0000, 0.5000, 0.2500) (multiplicity 2)  4 W 2.77, 4 Zn 2.77, 4 Br 3.05
Br (0.0000, 0.5000, 0.7500) (multiplicity 2)  8 W 2.77-3.05, 4 Zn 2.77

=====

<b>
First-principles (SCAN) data for a PBEsol-optimized structure of ZnW2Br, as listed in Alexandria.

Values from the calculation:
Density of states at the Fermi level in states/eV/atom: 0.782

a b c (Å): 2.9013 4.9398 9.1482
angles (deg): 90.00 90.00 90.00
Closest atoms and distances in Å follow each position.
Space group Cmmm (No. 65)
Asymmetric unit:
Zn (0.0000, 0.0000, 0.0000) (multiplicity 2)  4 W 2.67, 6 Zn 2.86-2.90
W (0.0000, 0.5000, 0.2446) (multiplicity 4)  2 Zn 2.67, 2 Br 2.75, 6 W 2.86-2.90
Br (0.0000, 0.0000, 0.5000) (multiplicity 2)  4 W 2.75, 6 Br 2.86-2.90

=====

<b> ends up most stable, edging out the next structure by 99 meV per atom.

=====

<a>
First-principles (SCAN) data for a PBEsol-optimized structure of Zr2WBr, as listed in Alexandria.

Values from the calculation:
Density of states at the Fermi level in states/eV/atom: 0.782

a b c (Å): 7.8871 3.1975 8.4616
angles (deg): 90.00 116.23 90.00
Closest atoms and distances in Å follow each position.
Space group C2/m (No. 12)
Asymmetric unit:
Zr (0.1296, 0.0000, 0.3128) (multiplicity 4)  3 W 2.64-2.75, 2 Br 2.87
W (0.0000, 0.5000, 0.5000) (multiplicity 2)  6 Zr 2.64-2.75
Br (0.0000, 0.5000, 0.0000) (multiplicity 2)  4 Zr 2.87, 2 Br 3.20

=====

<b>
First-principles (SCAN) data for a PBEsol-optimized structure of Zr2WBr, as listed in Alexandria.

Values from the calculation:
Density of states at the Fermi level in states/eV/atom: 0.599

a b c (Å): 10.2577 3.2283 4.6852
angles (deg): 90.00 95.40 90.00
Closest atoms and distances in Å follow each position.
Space group Cm (No. 8)
Asymmetric unit:
Zr (0.0000, 0.0000, 0.0000) (multiplicity 2)  1 W 2.63, 2 Br 2.80
Zr (0.2170, 0.5000, 0.5547) (multiplicity 2)  3 Br 2.76-2.88, 4 W 2.82-2.93
W (0.2575, 0.0000, 0.0483) (multiplicity 2)  5 Zr 2.63-2.93, 1 Br 2.78
Br (0.4471, 0.0000, 0.5142) (multiplicity 2)  7 Zr 2.76-2.99, 1 W 2.78

=====

<a> ends up most stable, edging out the next structure by 150 meV per atom.

=====

<a>
First-principles (SCAN) data for a PBEsol-optimized structure of ZrW2Br, as listed in Alexandria.

Values from the calculation:
Density of states at the Fermi level in states/eV/atom: 0.733

a b c (Å): 3.0624 4.4865 5.3056
angles (deg): 90.00 90.00 90.00
Closest atoms and distances in Å follow each position.
Space group Pmmm (No. 47)
Asymmetric unit:
Zr (0.0000, 0.0000, 0.0000) (multiplicity 1)  2 Br 2.65, 8 W 2.97
W (0.5000, 0.5000, 0.2270) (multiplicity 2)  1 W 2.41
Br (0.0000, 0.0000, 0.5000) (multiplicity 1)  2 Zr 2.65

=====

<b>
First-principles (SCAN) data for a PBEsol-optimized structure of ZrW2Br, as listed in Alexandria.

Values from the calculation:
Density of states at the Fermi level in states/eV/atom: 1.220

a b c (Å): 3.2085 3.2085 6.8538
angles (deg): 90.00 90.00 90.00
Closest atoms and distances in Å follow each position.
Space group P4/mmm (No. 123)
Asymmetric unit:
Zr (0.0000, 0.0000, 0.0000) (multiplicity 1)  8 W 2.84
W (0.5000, 0.5000, 0.2498) (multiplicity 2)  4 Zr 2.84, 4 Br 2.84
Br (0.0000, 0.0000, 0.5000) (multiplicity 1)  8 W 2.84

=====

<a> ends up most stable, edging out the next structure by 298 meV per atom.